No. 1
Entry from OQMD: crystalline BaHgSO at its relaxed geometry (GGA-PBE).

Unit cell a=7.7585 b=13.1951 c=7.6024 alpha=90.00 beta=90.00 gamma=90.00
Fractional coordinates of all 32 atoms:
O 0.2620 0.2775 0.4986
Ba 0.5120 0.2522 0.7492
Hg 0.2550 0.4543 0.4958
Ba 0.4880 0.7522 0.7508
S 0.5558 0.4988 0.2498
S 0.0558 0.0012 0.7502
Hg 0.7450 0.9543 0.0042
S 0.0558 0.4988 0.2502
O 0.2380 0.7775 0.4986
Hg 0.7550 0.0457 0.5042
O 0.7620 0.2775 0.0014
Ba 0.5120 0.2478 0.2492
Hg 0.7550 0.4543 0.0042
Hg 0.2450 0.5457 0.9958
S 0.9442 0.5012 0.7498
O 0.7620 0.2225 0.5014
Hg 0.2550 0.0457 0.9958
Ba 0.9880 0.7522 0.7492
O 0.7380 0.7225 0.5014
Hg 0.7450 0.5457 0.5042
Ba 0.0120 0.2522 0.7508
S 0.4442 0.9988 0.2502
Ba 0.9880 0.7478 0.2492
Hg 0.2450 0.9543 0.4958
Ba 0.0120 0.2478 0.2508
O 0.2380 0.7225 0.9986
O 0.7380 0.7775 0.0014
O 0.2620 0.2225 0.9986
S 0.9442 0.9988 0.2498
S 0.5558 0.0012 0.7498
Ba 0.4880 0.7478 0.2508
S 0.4442 0.5012 0.7502

Calculated values
The calculation puts the total energy at -4.13 eV per atom. As for the space-group type: No. 61.

***

No. 2
Entry from OQMD: crystalline BaHgSO at its relaxed geometry (GGA-PBE).

Unit cell a=7.6822 b=7.6822 c=6.4333 alpha=90.00 beta=90.00 gamma=32.17
Fractional coordinates of all 8 atoms:
Hg 0.9251 0.9251 0.4196
Hg 0.0749 0.0749 0.9196
O 0.0641 0.0641 0.5411
S 0.3257 0.3257 0.4674
Ba 0.3489 0.3489 0.9644
S 0.6743 0.6743 0.9674
O 0.9359 0.9359 0.0411
Ba 0.6511 0.6511 0.4644

Calculated values
The calculation puts the total energy at -4.14 eV per atom. As for the space-group type: No. 36.